[1]
Gd2Tl2PdPt3 | PBE-GGA | relaxed

Computed properties:
The value obtained for the total energy is -5.406 eV per atom. The crystal system is trigonal. Its space-group type is No. 156.

The structure in POSCAR format:
```
Gd2Tl2PdPt3
1.0
4.668 0.000 0.000
-2.334 4.043 0.000
0.000 0.000 9.051
Gd Tl Pd Pt
2 2 1 3
direct
0.000 0.000 0.000 Gd
0.333 0.667 0.493 Gd
0.667 0.333 0.249 Tl
0.667 0.333 0.747 Tl
0.000 0.000 0.658 Pd
0.000 0.000 0.347 Pt
0.333 0.667 0.150 Pt
0.333 0.667 0.839 Pt
```

=====

[2]
Gd2In2NiPt3 | PBE-GGA | relaxed

Computed properties:
The value obtained for the total energy is -5.641 eV per atom. The crystal system is trigonal. Its space-group type is No. 156.

The structure in POSCAR format:
```
Gd2In2NiPt3
1.0
4.571 0.000 0.000
-2.286 3.959 0.000
0.000 0.000 8.985
Gd In Ni Pt
2 2 1 3
direct
0.000 0.000 0.000 Gd
0.333 0.667 0.505 Gd
0.667 0.333 0.255 In
0.667 0.333 0.745 In
0.000 0.000 0.668 Ni
0.000 0.000 0.358 Pt
0.333 0.667 0.161 Pt
0.333 0.667 0.835 Pt
```

=====

[3]
Au4Se5 | PBE-GGA | relaxed

Computed properties:
The value obtained for the total energy is -2.977 eV per atom. The crystal system is hexagonal. Its space-group type is No. 191.

The structure in POSCAR format:
```
Au4Se5
1.0
5.475 0.000 0.000
-2.737 4.741 0.000
0.000 0.000 8.183
Au Se
4 5
direct
0.000 0.000 0.000 Au
0.000 0.500 0.500 Au
0.500 0.000 0.500 Au
0.500 0.500 0.500 Au
0.000 0.000 0.500 Se
0.333 0.667 0.139 Se
0.333 0.667 0.861 Se
0.667 0.333 0.139 Se
0.667 0.333 0.861 Se
```

=====

[4]
PrNd4Sb5 | PBE-GGA | relaxed

Computed properties:
The value obtained for the total energy is -5.636 eV per atom. The crystal system is tetragonal. Its space-group type is No. 139.

The structure in POSCAR format:
```
PrNd4Sb5
1.0
-2.263 2.263 16.012
2.263 -2.263 16.012
2.263 2.263 -16.012
Pr Nd Sb
1 4 5
direct
0.000 0.000 0.000 Pr
0.200 0.200 0.000 Nd
0.400 0.400 0.000 Nd
0.600 0.600 0.000 Nd
0.800 0.800 0.000 Nd
0.100 0.100 0.000 Sb
0.300 0.300 0.000 Sb
0.500 0.500 0.000 Sb
0.700 0.700 0.000 Sb
0.900 0.900 0.000 Sb
```

=====

[5]
BaHg11 | PBE-GGA | relaxed

Computed properties:
The relative energy among the computed polymorphs comes out at 2.35 kJ per mole of atoms. The crystal system is tetragonal. Its space-group type is No. 141.

The structure in POSCAR format:
```
BaHg11
1.0
-6.182 6.182 4.068
6.182 -6.182 4.068
6.182 6.182 -4.068
Ba Hg
2 22
direct
0.375 0.625 0.750 Ba
0.625 0.375 0.250 Ba
0.000 0.000 0.000 Hg
0.000 0.000 0.500 Hg
0.000 0.500 0.000 Hg
0.110 0.544 0.326 Hg
0.110 0.784 0.566 Hg
0.125 0.875 0.250 Hg
0.216 0.282 0.326 Hg
0.216 0.890 0.934 Hg
0.282 0.216 0.826 Hg
0.282 0.456 0.066 Hg
0.456 0.282 0.566 Hg
0.456 0.890 0.174 Hg
0.500 0.000 0.500 Hg
0.544 0.110 0.826 Hg
0.544 0.718 0.434 Hg
0.718 0.544 0.934 Hg
0.718 0.784 0.174 Hg
0.784 0.110 0.066 Hg
0.784 0.718 0.674 Hg
0.875 0.125 0.750 Hg
0.890 0.216 0.434 Hg
0.890 0.456 0.674 Hg
```

=====

[6]
HoTlZnS3 | PBE-GGA | relaxed

Computed properties:
The relative energy among the computed polymorphs comes out at 6.11 kJ per mole of atoms. The crystal system is orthorhombic. Its space-group type is No. 62.

The structure in POSCAR format:
```
HoTlZnS3
1.0
9.965 0.000 0.000
0.000 3.962 0.000
0.000 0.000 14.830
Ho Tl Zn S
4 4 4 12
direct
0.171 0.250 0.059 Ho
0.329 0.750 0.559 Ho
0.671 0.250 0.441 Ho
0.829 0.750 0.941 Ho
0.013 0.750 0.324 Tl
0.487 0.250 0.824 Tl
0.513 0.750 0.176 Tl
0.987 0.250 0.676 Tl
0.168 0.750 0.865 Zn
0.332 0.250 0.365 Zn
0.668 0.750 0.635 Zn
0.832 0.250 0.135 Zn
0.022 0.250 0.896 S
0.185 0.250 0.485 S
0.220 0.750 0.717 S
0.280 0.250 0.217 S
0.315 0.750 0.985 S
0.478 0.750 0.396 S
0.522 0.250 0.604 S
0.685 0.250 0.015 S
0.720 0.750 0.783 S
0.780 0.250 0.283 S
0.815 0.750 0.515 S
0.978 0.750 0.104 S
```

=====

[7]
ZrTlCuS3 | PBE-GGA | relaxed

Computed properties:
The value obtained for the total energy is -5.493 eV per atom. The crystal system is orthorhombic. Its space-group type is No. 62.

The structure in POSCAR format:
```
ZrTlCuS3
1.0
9.829 0.000 0.000
0.000 3.743 0.000
0.000 0.000 14.404
Zr Tl Cu S
4 4 4 12
direct
0.018 0.250 0.250 Zr
0.482 0.750 0.750 Zr
0.518 0.250 0.250 Zr
0.982 0.750 0.750 Zr
0.239 0.750 0.004 Tl
0.261 0.250 0.504 Tl
0.739 0.750 0.496 Tl
0.761 0.250 0.996 Tl
0.237 0.250 0.784 Cu
0.263 0.750 0.284 Cu
0.737 0.250 0.716 Cu
0.763 0.750 0.216 Cu
0.040 0.250 0.870 S
0.067 0.750 0.371 S
0.236 0.750 0.686 S
0.264 0.250 0.186 S
0.433 0.250 0.871 S
0.460 0.750 0.370 S
0.540 0.250 0.630 S
0.567 0.750 0.129 S
0.736 0.750 0.814 S
0.764 0.250 0.314 S
0.933 0.250 0.629 S
0.960 0.750 0.130 S
```

=====

[8]
SnIr15 | PBE-GGA | relaxed

Computed properties:
The relative energy among the computed polymorphs comes out at 8.42 kJ per mole of atoms. The crystal system is monoclinic. Its space-group type is No. 11.

The structure in POSCAR format:
```
SnIr15
1.0
7.735 0.000 0.000
0.000 2.747 0.000
-0.002 0.000 35.758
Sn Ir
2 30
direct
0.125 0.250 0.295 Sn
0.875 0.750 0.705 Sn
0.125 0.250 0.058 Ir
0.125 0.250 0.135 Ir
0.125 0.250 0.211 Ir
0.125 0.250 0.828 Ir
0.125 0.250 0.904 Ir
0.125 0.250 0.981 Ir
0.129 0.250 0.750 Ir
0.375 0.750 0.019 Ir
0.375 0.750 0.096 Ir
0.375 0.750 0.172 Ir
0.375 0.750 0.716 Ir
0.375 0.750 0.791 Ir
0.375 0.750 0.866 Ir
0.375 0.750 0.943 Ir
0.379 0.750 0.250 Ir
0.621 0.250 0.750 Ir
0.625 0.250 0.057 Ir
0.625 0.250 0.134 Ir
0.625 0.250 0.209 Ir
0.625 0.250 0.284 Ir
0.625 0.250 0.828 Ir
0.625 0.250 0.904 Ir
0.625 0.250 0.981 Ir
0.871 0.750 0.250 Ir
0.875 0.750 0.019 Ir
0.875 0.750 0.096 Ir
0.875 0.750 0.172 Ir
0.875 0.750 0.789 Ir
0.875 0.750 0.865 Ir
0.875 0.750 0.942 Ir
```

=====

[9]
RbZrGe | PBE-GGA | relaxed

Computed properties:
The relative energy among the computed polymorphs comes out at 80.68 kJ per mole of atoms. The crystal system is cubic. Its space-group type is No. 216.

The structure in POSCAR format:
```
RbZrGe
1.0
0.000 3.569 3.569
3.569 0.000 3.569
3.569 3.569 0.000
Rb Zr Ge
1 1 1
direct
0.000 0.000 0.000 Rb
0.250 0.250 0.250 Zr
0.750 0.750 0.750 Ge
```

=====

[10]
Li4MgAg2Sn | PBE-GGA | relaxed

Computed properties:
The value obtained for the total energy is -2.630 eV per atom. The crystal system is tetragonal. Its space-group type is No. 115.

The structure in POSCAR format:
```
Li4MgAg2Sn
1.0
4.620 0.000 0.000
0.000 4.620 0.000
0.000 0.000 6.464
Li Mg Ag Sn
4 1 2 1
direct
0.000 0.000 0.000 Li
0.000 0.500 0.748 Li
0.500 0.000 0.252 Li
0.500 0.500 0.500 Li
0.500 0.500 0.000 Mg
0.000 0.500 0.245 Ag
0.500 0.000 0.755 Ag
0.000 0.000 0.500 Sn
```

=====

[11]
CdH20C18S4N6 | PBE-GGA | relaxed

Computed properties:
The value obtained for the total energy is -6.138 eV per atom. The crystal system is triclinic. Its space-group type is No. 2.

The structure in POSCAR format:
```
CdH20C18S4N6
1.0
7.558 0.000 0.000
-1.497 10.480 0.000
-1.387 -2.367 13.551
Cd H C S N
2 40 36 8 12
direct
0.169 0.386 0.221 Cd
0.831 0.614 0.779 Cd
0.001 0.087 0.111 H
0.009 0.014 0.275 H
0.013 0.106 0.835 H
0.040 0.118 0.506 H
0.120 0.711 0.450 H
0.125 0.143 0.733 H
0.180 0.259 0.574 H
0.198 0.341 0.951 H
0.209 0.489 0.733 H
0.237 0.991 0.605 H
0.250 0.038 0.017 H
0.276 0.144 0.494 H
0.320 0.477 0.037 H
0.381 0.441 0.916 H
0.381 0.598 0.465 H
0.381 0.882 0.557 H
0.396 0.673 0.066 H
0.432 0.486 0.613 H
0.447 0.913 0.108 H
0.475 0.043 0.619 H
0.525 0.957 0.381 H
0.553 0.087 0.892 H
0.568 0.514 0.387 H
0.604 0.327 0.934 H
0.619 0.118 0.443 H
0.619 0.402 0.535 H
0.619 0.559 0.084 H
0.680 0.523 0.963 H
0.724 0.856 0.506 H
0.750 0.962 0.983 H
0.763 0.009 0.395 H
0.791 0.511 0.267 H
0.802 0.659 0.049 H
0.820 0.741 0.426 H
0.875 0.857 0.267 H
0.880 0.289 0.550 H
0.960 0.882 0.494 H
0.987 0.894 0.165 H
0.991 0.986 0.725 H
0.999 0.913 0.889 H
0.005 0.090 0.754 C
0.026 0.664 0.585 C
0.092 0.864 0.929 C
0.124 0.262 0.419 C
0.140 0.524 0.921 C
0.142 0.662 0.512 C
0.157 0.192 0.503 C
0.172 0.666 0.953 C
0.173 0.698 0.241 C
0.194 0.539 0.669 C
0.230 0.933 0.000 C
0.266 0.442 0.959 C
0.290 0.598 0.521 C
0.311 0.729 0.026 C
0.318 0.536 0.601 C
0.340 0.863 0.051 C
0.369 0.960 0.616 C
0.444 0.183 0.267 C
0.556 0.817 0.733 C
0.631 0.040 0.384 C
0.660 0.137 0.949 C
0.682 0.464 0.399 C
0.689 0.271 0.974 C
0.710 0.402 0.479 C
0.734 0.558 0.041 C
0.770 0.067 0.000 C
0.806 0.461 0.331 C
0.827 0.302 0.759 C
0.828 0.334 0.047 C
0.843 0.808 0.497 C
0.858 0.338 0.488 C
0.860 0.476 0.079 C
0.876 0.738 0.581 C
0.908 0.136 0.071 C
0.974 0.336 0.415 C
0.995 0.910 0.246 C
0.197 0.860 0.297 S
0.357 0.625 0.267 S
0.375 0.903 0.733 S
0.415 0.253 0.163 S
0.585 0.747 0.837 S
0.625 0.097 0.267 S
0.643 0.375 0.733 S
0.803 0.140 0.703 S
0.001 0.476 0.855 N
0.019 0.651 0.184 N
0.052 0.600 0.662 N
0.064 0.735 0.906 N
0.220 0.258 0.345 N
0.354 0.186 0.345 N
0.646 0.814 0.655 N
0.780 0.742 0.655 N
0.936 0.265 0.094 N
0.948 0.400 0.338 N
0.981 0.349 0.816 N
0.999 0.524 0.145 N
```

=====

[12]
CoBr3 | PBE-GGA | relaxed

Computed properties:
The value obtained for the total energy is -3.131 eV per atom. The crystal system is trigonal. Its space-group type is No. 150.

The structure in POSCAR format:
```
CoBr3
1.0
6.128 0.000 0.000
-3.064 5.307 0.000
0.000 0.000 8.717
Co Br
3 9
direct
0.000 0.000 0.000 Co
0.333 0.667 0.652 Co
0.667 0.333 0.348 Co
0.000 0.336 0.500 Br
0.022 0.679 0.819 Br
0.321 0.344 0.819 Br
0.336 0.000 0.500 Br
0.344 0.321 0.181 Br
0.656 0.978 0.819 Br
0.664 0.664 0.500 Br
0.679 0.022 0.181 Br
0.978 0.656 0.181 Br
```

=====

[13]
Nb2O | PBE-GGA | relaxed

Computed properties:
The value obtained for the total energy is -7.619 eV per atom. The crystal system is cubic. Its space-group type is No. 227.

The structure in POSCAR format:
```
Nb2O
1.0
0.000 4.568 4.568
4.568 0.000 4.568
4.568 4.568 0.000
Nb O
4 2
direct
0.000 0.000 0.000 Nb
0.000 0.000 0.500 Nb
0.000 0.500 0.000 Nb
0.500 0.000 0.000 Nb
0.125 0.125 0.125 O
0.875 0.875 0.875 O
```

=====

[14]
AcB2Pd6 | PBE-GGA | relaxed

Computed properties:
The value obtained for the total energy is -5.854 eV per atom. The crystal system is cubic. Its space-group type is No. 227.

The structure in POSCAR format:
```
AcB2Pd6
1.0
0.000 5.415 5.415
5.415 0.000 5.415
5.415 5.415 0.000
Ac B Pd
2 4 12
direct
0.125 0.125 0.125 Ac
0.875 0.875 0.875 Ac
0.000 0.500 0.500 B
0.500 0.000 0.500 B
0.500 0.500 0.000 B
0.500 0.500 0.500 B
0.172 0.172 0.578 Pd
0.172 0.578 0.172 Pd
0.172 0.578 0.578 Pd
0.422 0.422 0.828 Pd
0.422 0.828 0.422 Pd
0.422 0.828 0.828 Pd
0.578 0.172 0.172 Pd
0.578 0.172 0.578 Pd
0.578 0.578 0.172 Pd
0.828 0.422 0.422 Pd
0.828 0.422 0.828 Pd
0.828 0.828 0.422 Pd
```

=====

[15]
LaDyAg2As4 | PBE-GGA | relaxed

Computed properties:
The value obtained for the total energy is -5.005 eV per atom. The crystal system is tetragonal. Its space-group type is No. 99.

The structure in POSCAR format:
```
LaDyAg2As4
1.0
4.053 0.000 0.000
0.000 4.053 0.000
0.000 0.000 10.507
La Dy Ag As
1 1 2 4
direct
0.000 0.000 0.000 La
0.500 0.500 0.455 Dy
0.000 0.500 0.720 Ag
0.500 0.000 0.720 Ag
0.000 0.000 0.539 As
0.000 0.500 0.236 As
0.500 0.000 0.236 As
0.500 0.500 0.900 As
```

=====

[16]
Li2CdO2 | PBE-GGA | relaxed

Computed properties:
The relative energy among the computed polymorphs comes out at 0.00 kJ per mole of atoms. The crystal system is monoclinic. Its space-group type is No. 12.

The structure in POSCAR format:
```
Li2CdO2
1.0
2.882 -1.622 0.000
2.882 1.622 0.000
-0.101 0.000 5.427
Li Cd O
2 1 2
direct
0.165 0.165 0.128 Li
0.835 0.835 0.872 Li
0.500 0.500 0.500 Cd
0.163 0.163 0.764 O
0.837 0.837 0.236 O
```